## Cs2TlCdI5 (PBE)

Data for a relaxed Cs2TlCdI5 crystal.

Results
Raw total energy: -2.453 eV per atom
Raw formation energy: -1038 meV/atom
V: 51.37 Å³ per atom

Cell: 4.9079 22.8783 16.4700 Å, 90.00 90.00 90.00°
Space group Cmc2_1 (No. 36)
One atom of each set of equivalent atoms:
Cs: 0.0000 0.1230 0.0000
Cs: 0.0000 0.1372 0.6490
Tl: 0.0000 0.2054 0.3538
Cd: 0.0000 0.4447 0.7279
I: 0.0000 0.0295 0.3186
I: 0.0000 0.2921 0.9962
I: 0.0000 0.3257 0.6858
I: 0.0000 0.3499 0.3269
I: 0.0000 0.4923 0.0819


## Ba2YCd (PBE)

Data for a relaxed Ba2YCd crystal.

Results
Raw total energy: -2.679 eV per atom
V: 39.36 Å³ per atom
Energy relative to the elements: 0.51 eV/f.u.

Cell: 5.3690 5.3690 10.9224 Å, 90.00 90.00 90.00°
Space group I4/mmm (No. 139)
One atom of each set of equivalent atoms:
Ba: 0.0000 0.5000 0.2500
Y: 0.0000 0.0000 0.0000
Cd: 0.0000 0.0000 0.5000


## Sb2Ru2N (PBE)

Data for a relaxed Sb2Ru2N crystal.

Results
Raw total energy: -6.622 eV per atom
Raw formation energy: 402 meV/atom
Energy relative to the lowest polymorph listed for this composition: 0.000 eV/atom
V: 19.27 Å³ per atom

Cell: 5.4601 5.4601 6.4626 Å, 90.00 90.00 90.00°
Space group I4/mmm (No. 139)
One atom of each set of equivalent atoms:
Sb: 0.0000 0.5000 0.2500
Ru: 0.0000 0.0000 0.2263
N: 0.0000 0.0000 0.5000


- V of number 3 (Sb2Ru2N)?
  19.27 Å³ per atom


- Which value of V does entry 1 give?
  51.37 Å³ per atom


- Among the records above, which one has the lowest V?
  Sb2Ru2N


- Which value of V does entry 1 give?
  51.37 Å³ per atom